(1)
Material: Sr2ScAuO5
Method: DFT, PBE
State: optimized geometry

The calculation puts the uncorrected formation energy at -2.15 eV per atom. The total energy is -6.347 eV/atom.

Cell lengths 3.4041, 6.9241, 11.5465 Å; angles 90.00, 90.00, 104.23 degrees
Last column: nearest neighbours and their distance in Å.
Fractional positions:
Sr 0.8494 0.6989 0.7948  8 O 2.52-2.81
Sr 0.0864 0.1727 0.6696  4 O 2.39-2.48
Sr 0.1506 0.3011 0.2948  8 O 2.52-2.81
Sr 0.9136 0.8273 0.1696  4 O 2.39-2.48
Sc 0.7837 0.5674 0.5280  4 O 1.99-2.21
Sc 0.2163 0.4326 0.0280  4 O 1.99-2.21
Au 0.5292 0.0585 0.9440  3 O 2.05-2.10
Au 0.4708 0.9415 0.4440  3 O 2.05-2.10
O 0.3772 0.7544 0.9859  1 Au 2.10, 1 Sc 2.21
O 0.6806 0.3612 0.9044  1 Au 2.08, 2 Sc 2.27
O 0.4862 0.9724 0.7737  1 Au 2.05
O 0.2633 0.5266 0.6438  2 Sc 2.18, 1 Sr 2.39
O 0.9254 0.8508 0.5798  1 Sc 1.99
O 0.6228 0.2456 0.4859  1 Au 2.10, 1 Sc 2.21
O 0.3194 0.6388 0.4044  1 Au 2.08, 2 Sc 2.27
O 0.5138 0.0276 0.2737  1 Au 2.05
O 0.7367 0.4734 0.1438  2 Sc 2.18, 1 Sr 2.39
O 0.0746 0.1492 0.0798  1 Sc 1.99

***

(2)
Material: Sr2ScAu2O6
Method: DFT, PBE
State: optimized geometry

The calculation puts the uncorrected formation energy at -1.55 eV per atom. The total energy is -5.732 eV/atom. The density of states at the Fermi level is 0.706 states/eV per atom.

Cell lengths 6.1741, 6.1741, 6.5942 Å; angles 62.09, 62.09, 60.00 degrees
Last column: nearest neighbours and their distance in Å.
Fractional positions:
Sr 0.7919 0.7919 0.6242  3 O 2.52
Sr 0.2081 0.2081 0.3758  3 O 2.52
Sc 0.0000 0.0000 0.0000  6 O 2.11
Au 0.4109 0.4109 0.7673  3 O 2.05
Au 0.5891 0.5891 0.2327  3 O 2.05
O 0.7702 0.7702 0.2628  1 Au 2.05, 1 Sc 2.11
O 0.1969 0.7702 0.2628  1 Au 2.05, 1 Sc 2.11
O 0.7702 0.1969 0.2628  1 Au 2.05, 1 Sc 2.11
O 0.2298 0.8031 0.7372  1 Au 2.05, 1 Sc 2.11
O 0.8031 0.2298 0.7372  1 Au 2.05, 1 Sc 2.11
O 0.2298 0.2298 0.7372  1 Au 2.05, 1 Sc 2.11